Compound: Sc2AsP
Source: Alexandria
Functional: PBEsol
Structure: relaxed

Lattice parameters (Å, degrees): 3.2241 3.2241 6.8236 90.00 90.00 90.00
Closest atoms and distances in Å follow each position.
Positions (direct):
Sc1 0.0000 0.0000 0.2302  4 P 2.77, 4 As 2.93
Sc2 0.0000 0.0000 0.7698  4 P 2.77, 4 As 2.93
As1 0.5000 0.5000 0.5000  8 Sc 2.93, 4 As 3.22
P1 0.5000 0.5000 0.0000  8 Sc 2.77

**Size of the total moment**: 0.00 μB/atom
**D(E_F)**: 2.5 states/eV/f.u.
**ΔH_f (0 K)**: -977 meV/atom

=====

Compound: Sc2AsP
Source: Alexandria
Functional: PBEsol
Structure: relaxed

Lattice parameters (Å, degrees): 3.9443 5.4830 5.4830 38.30 90.00 90.00
Closest atoms and distances in Å follow each position.
Positions (direct):
Sc1 0.0000 0.0000 0.0000  4 P 2.67, 1 As 2.71
Sc2 0.5000 0.2535 0.2535  1 P 2.59, 4 As 2.67
As1 0.0000 0.7388 0.7388  5 Sc 2.67-2.71
P1 0.5000 0.5038 0.5038  5 Sc 2.59-2.67

**Size of the total moment**: 0.00 μB/atom
**D(E_F)**: 0.8 states/eV/f.u.
**ΔH_f (0 K)**: -1240 meV/atom

=====

Compound: AsPSe2
Source: Alexandria
Functional: PBEsol
Structure: relaxed

Lattice parameters (Å, degrees): 7.8705 7.8705 7.8705 155.06 154.76 35.78
Closest atoms and distances in Å follow each position.
Positions (direct):
As1 0.0000 0.0000 0.0000  4 Se 2.64, 2 P 2.79
P1 0.8522 0.3522 0.5000  4 Se 2.55, 2 As 2.79
Se1 0.2977 0.7977 0.5000  4 P 2.55
Se2 0.5715 0.5715 0.0000  4 As 2.64

**VASP energy**: -4.4628 eV per atom
**Size of the total moment**: 0.00 μB/atom
**D(E_F)**: 1.2 states/eV/f.u.

=====

Compound: AsPSe2
Source: Alexandria
Functional: PBEsol
Structure: relaxed

Lattice parameters (Å, degrees): 4.6544 4.6544 4.6544 60.00 60.00 60.00
Closest atoms and distances in Å follow each position.
Positions (direct):
As1 0.0000 0.0000 0.0000  8 Se 2.85
P1 0.5000 0.5000 0.5000  8 Se 2.85
Se1 0.2500 0.2500 0.2500  4 As 2.85, 4 P 2.85
Se2 0.7500 0.7500 0.7500  4 As 2.85, 4 P 2.85

**VASP energy**: -4.1869 eV per atom
**Size of the total moment**: 0.00 μB/atom
**D(E_F)**: 2.2 states/eV/f.u.

=====

Compound: AsP3Se
Source: Alexandria
Functional: PBEsol
Structure: relaxed

Lattice parameters (Å, degrees): 4.6517 4.6517 4.6517 90.00 90.00 90.00
Closest atoms and distances in Å follow each position.
Positions (direct):
As1 0.0000 0.0000 0.0000  12 P 3.29
P1 0.0000 0.5000 0.5000  2 Se 2.33
P2 0.5000 0.0000 0.5000  2 Se 2.33
P3 0.5000 0.5000 0.0000  2 Se 2.33
Se1 0.5000 0.5000 0.5000  6 P 2.33

**VASP energy**: -4.0803 eV per atom
**Size of the total moment**: 0.00 μB/atom
**D(E_F)**: 4.4 states/eV/f.u.

=====

Compound: As2PSe
Source: Alexandria
Functional: PBEsol
Structure: relaxed

Lattice parameters (Å, degrees): 6.9859 6.9859 6.9859 150.25 150.25 42.58
Closest atoms and distances in Å follow each position.
Positions (direct):
As1 0.0000 0.0000 0.0000  4 P 2.54
As2 0.7500 0.2500 0.5000  4 Se 2.54
P1 0.5000 0.5000 0.0000  4 As 2.54
Se1 0.2500 0.7500 0.5000  4 As 2.54

**VASP energy**: -4.4792 eV per atom
**Size of the total moment**: 0.00 μB/atom
**D(E_F)**: 2.6 states/eV/f.u.

=====

Compound: As4PSe
Source: Alexandria
Functional: PBEsol
Structure: relaxed

Lattice parameters (Å, degrees): 5.4358 5.4358 5.4358 60.00 60.00 60.00
Closest atoms and distances in Å follow each position.
Positions (direct):
As1 0.3758 0.3758 0.3758  6 As 2.70-2.74
As2 0.3758 0.3758 0.8725  6 As 2.70-2.74
As3 0.3758 0.8725 0.3758  6 As 2.70-2.74
As4 0.8725 0.3758 0.3758  6 As 2.70-2.74
P1 0.0000 0.0000 0.0000  12 As 3.19, 4 Se 3.33
Se1 0.7500 0.7500 0.7500  12 As 3.19, 4 P 3.33

**VASP energy**: -4.3120 eV per atom
**Size of the total moment**: 0.00 μB/atom
**D(E_F)**: 3.7 states/eV/f.u.

=====

Compound: AsPSe2
Source: Alexandria
Functional: PBEsol
Structure: relaxed

Lattice parameters (Å, degrees): 3.4920 3.4920 7.4716 90.00 90.00 90.00
Closest atoms and distances in Å follow each position.
Positions (direct):
As1 0.0000 0.0000 0.0000  1 Se 2.29, 4 P 2.54
P1 0.5000 0.5000 0.9182  1 Se 2.15
Se1 0.0000 0.0000 0.3060  1 As 2.29
Se2 0.5000 0.5000 0.6302  1 P 2.15

**VASP energy**: -4.4846 eV per atom
**Size of the total moment**: 0.00 μB/atom
**D(E_F)**: 1.8 states/eV/f.u.

=====

Compound: AsPSe3
Source: Alexandria
Functional: PBEsol
Structure: relaxed

Lattice parameters (Å, degrees): 4.7269 4.7269 4.7269 90.00 90.00 90.00
Closest atoms and distances in Å follow each position.
Positions (direct):
As1 0.0000 0.0000 0.0000  12 Se 3.34
P1 0.5000 0.5000 0.5000  6 Se 2.36
Se1 0.0000 0.5000 0.5000  2 P 2.36
Se2 0.5000 0.0000 0.5000  2 P 2.36
Se3 0.5000 0.5000 0.0000  2 P 2.36

**VASP energy**: -3.9315 eV per atom
**Size of the total moment**: 0.00 μB/atom
**D(E_F)**: 3.2 states/eV/f.u.

=====

Compound: SiAsPSe2
Source: Alexandria
Functional: PBEsol
Structure: relaxed

Lattice parameters (Å, degrees): 4.6626 4.6626 4.7337 90.00 90.00 90.00
Closest atoms and distances in Å follow each position.
Positions (direct):
Si1 0.0000 0.0000 0.0000  4 Se 2.33, 2 As 2.37
As1 0.0000 0.0000 0.5000  2 Si 2.37
P1 0.5000 0.5000 0.5000  4 As 3.30, 8 Se 3.32
Se1 0.0000 0.5000 0.0000  2 Si 2.33
Se2 0.5000 0.0000 0.0000  2 Si 2.33

**VASP energy**: -4.1154 eV per atom
**Size of the total moment**: 0.00 μB/atom
**D(E_F)**: 3.6 states/eV/f.u.

=====

Compound: SiAsPSe2
Source: Alexandria
Functional: PBEsol
Structure: relaxed

Lattice parameters (Å, degrees): 4.7258 4.7258 4.4575 90.00 90.00 90.00
Closest atoms and distances in Å follow each position.
Positions (direct):
Si1 0.0000 0.0000 0.0000  2 P 2.23, 4 Se 2.36
As1 0.5000 0.5000 0.5000  8 Se 3.25, 4 P 3.34
P1 0.0000 0.0000 0.5000  2 Si 2.23
Se1 0.0000 0.5000 0.0000  2 Si 2.36
Se2 0.5000 0.0000 0.0000  2 Si 2.36

**VASP energy**: -4.2863 eV per atom
**Size of the total moment**: 0.00 μB/atom
**D(E_F)**: 3.6 states/eV/f.u.

=====

Compound: SrAs2PSe
Source: Alexandria
Functional: PBEsol
Structure: relaxed

Lattice parameters (Å, degrees): 4.8321 4.8321 4.9842 90.00 90.00 90.00
Closest atoms and distances in Å follow each position.
Positions (direct):
Sr1 0.0000 0.0000 0.0000  4 Se 3.42, 8 As 3.47
As1 0.0000 0.5000 0.5000  2 P 2.42
As2 0.5000 0.0000 0.5000  2 P 2.42
P1 0.5000 0.5000 0.5000  4 As 2.42, 2 Se 2.49
Se1 0.5000 0.5000 0.0000  2 P 2.49

**VASP energy**: -4.5585 eV per atom
**Size of the total moment**: 0.00 μB/atom
**D(E_F)**: 4.6 states/eV/f.u.